1.
## K2SbTe (SCAN)

Data for a crystal of K2SbTe relaxed with PBEsol.

Output
The value obtained for the size of the total moment is 0.0 μB/f.u. The offset from the most stable computed form is 0.000 eV per atom. Its space group is R-3m, No. 166. As for the total energy: -23.18 eV per atom. As for the formation energy (no corrections): -0.385 eV/atom.

a = 3.682 Å, b = 3.682 Å, c = 11.249 Å
α = 80.58°, β = 80.58°, γ = 60.00°
Fractional coordinates of all 4 atoms:
Te (0.000, 0.000, 0.000)
K (0.252, 0.252, 0.245)
K (0.748, 0.748, 0.755)
Sb (0.500, 0.500, 0.500)

=====

2.
## KSiPCO7 (SCAN)

Data for a crystal of KSiPCO7 relaxed with PBEsol.

Output
The value obtained for the size of the total moment is 0.0 μB/f.u. Its space group is P2_1, No. 4. As for the total energy: -9.81 eV per atom. As for the formation energy (no corrections): -2.312 eV/atom.

a = 4.892 Å, b = 5.957 Å, c = 9.830 Å
α = 90.00°, β = 110.63°, γ = 90.00°
Fractional coordinates of all 22 atoms:
K (0.442, 0.668, 0.849)
O (0.851, 0.734, 0.160)
O (0.887, 0.532, 0.659)
P (0.766, 0.734, 0.559)
O (0.960, 0.231, 0.023)
Si (0.121, 0.732, 0.345)
Si (0.879, 0.232, 0.655)
O (0.139, 0.235, 0.573)
O (0.113, 0.032, 0.341)
O (0.112, 0.435, 0.341)
C (0.932, 0.233, 0.893)
P (0.234, 0.234, 0.441)
C (0.068, 0.733, 0.107)
O (0.318, 0.735, 0.220)
K (0.558, 0.168, 0.151)
O (0.888, 0.935, 0.659)
O (0.861, 0.735, 0.427)
O (0.572, 0.233, 0.493)
O (0.040, 0.731, 0.977)
O (0.682, 0.235, 0.780)
O (0.428, 0.733, 0.507)
O (0.149, 0.234, 0.840)

=====

3.
## TlCu2MoCl (SCAN)

Data for a crystal of TlCu2MoCl relaxed with PBEsol.

Output
The value obtained for the size of the total moment is 3.3 μB/f.u. Its space group is P4/mmm, No. 123. As for the total energy: -27.88 eV per atom. As for the formation energy (no corrections): 1.244 eV/atom.

a = 4.776 Å, b = 4.776 Å, c = 5.342 Å
α = 90.00°, β = 90.00°, γ = 90.00°
Fractional coordinates of all 5 atoms:
Cu (0.500, 0.000, 0.000)
Mo (0.000, 0.000, 0.500)
Cu (0.000, 0.500, 0.000)
Cl (0.500, 0.500, 0.500)
Tl (0.000, 0.000, 0.000)

=====

4.
## Mg2AlFe (SCAN)

Data for a crystal of Mg2AlFe relaxed with PBEsol.

Output
As for the energy of formation from the pure elements: 0.1479 eV/atom. The value obtained for the size of the total moment is 2.3 μB/f.u. Its space group is P2/m, No. 10. As for the total energy: -8.81 eV per atom.

a = 2.777 Å, b = 4.538 Å, c = 5.158 Å
α = 90.00°, β = 100.38°, γ = 90.00°
Fractional coordinates of all 4 atoms:
Al (0.500, 0.500, 0.000)
Mg (0.226, 0.000, 0.263)
Fe (0.000, 0.500, 0.500)
Mg (0.774, 0.000, 0.737)

=====

5.
## LaScPtO2 (SCAN)

Data for a crystal of LaScPtO2 relaxed with PBEsol.

Output
The value obtained for the size of the total moment is 0.2 μB/f.u. Its space group is P4/mmm, No. 123. As for the total energy: -29.28 eV per atom. As for the formation energy (no corrections): -1.279 eV/atom.

a = 4.264 Å, b = 4.264 Å, c = 5.736 Å
α = 90.00°, β = 90.00°, γ = 90.00°
Fractional coordinates of all 5 atoms:
La (0.000, 0.000, 0.000)
O (0.500, 0.000, 0.000)
Sc (0.500, 0.500, 0.500)
O (0.000, 0.500, 0.000)
Pt (0.000, 0.000, 0.500)

=====

6.
## K2ScIr (SCAN)

Data for a crystal of K2ScIr relaxed with PBEsol.

Output
As for the energy of formation from the pure elements: 0.7689 eV/atom. The value obtained for the size of the total moment is 1.0 μB/f.u. The offset from the most stable computed form is 0.557 eV per atom. Its space group is Cmmm, No. 65. As for the total energy: -24.73 eV per atom.

a = 3.151 Å, b = 5.389 Å, c = 6.367 Å
α = 115.04°, β = 90.00°, γ = 90.00°
Fractional coordinates of all 4 atoms:
K (0.000, 0.500, 0.500)
Sc (0.500, 0.000, 0.000)
K (0.000, 0.000, 0.500)
Ir (0.500, 0.500, 0.000)

=====

7.
## MgReIr3 (SCAN)

Data for a crystal of MgReIr3 relaxed with PBEsol.

Output
As for the energy of formation from the pure elements: 1.3171 eV/atom. The value obtained for the size of the total moment is 0.0 μB/f.u. Its space group is Pm-3m, No. 221. As for the total energy: -56.56 eV per atom.

a = 4.710 Å, b = 4.710 Å, c = 4.710 Å
α = 90.00°, β = 90.00°, γ = 90.00°
Fractional coordinates of all 5 atoms:
Ir (0.000, 0.500, 0.000)
Mg (0.500, 0.500, 0.500)
Ir (0.500, 0.000, 0.000)
Ir (0.000, 0.000, 0.500)
Re (0.000, 0.000, 0.000)

=====

8.
## TaZnRe2 (SCAN)

Data for a crystal of TaZnRe2 relaxed with PBEsol.

Output
As for the energy of formation from the pure elements: 0.0266 eV/atom. The value obtained for the size of the total moment is 0.0 μB/f.u. Its space group is P4/mmm, No. 123. As for the total energy: -55.55 eV per atom.

a = 3.481 Å, b = 4.136 Å, c = 4.136 Å
α = 90.00°, β = 90.00°, γ = 90.00°
Fractional coordinates of all 4 atoms:
Re (0.000, 0.500, 0.000)
Re (0.000, 0.000, 0.500)
Zn (0.500, 0.000, 0.000)
Ta (0.500, 0.500, 0.500)